# 1
# FeCS2Cl, relaxed, DFT PBE-GGA
# Distance to the lowest polymorph of the same formula   254 meV per atom
# Density of states at the Fermi level   5.5 states/eV per cell
# Space group   P4/mmm
# Uncorrected energy   -4.036 eV/atom
# Total moment   4.3 μB/f.u.
# E_form (uncorrected)   7.61 eV/f.u.
data_FeCS2Cl
_chemical_formula_sum 'Fe1 C1 S2 Cl1'
_space_group_name_H-M_alt 'P 1'
_space_group_IT_number 1
_space_group_name_Hall 'P 1'
_cell_length_a 4.422
_cell_length_b 4.422
_cell_length_c 4.759
_cell_angle_alpha 90.00
_cell_angle_beta 90.00
_cell_angle_gamma 90.00
loop_
_atom_site_label
_atom_site_fract_x
_atom_site_fract_y
_atom_site_fract_z
S1 0.500 0.000 0.000
S2 0.000 0.500 0.000
C1 0.500 0.500 0.500
Cl1 0.000 0.000 0.500
Fe1 0.000 0.000 0.000

***

# 2
# Ca3ZnNi2, relaxed, DFT PBE-GGA
# Distance to the lowest polymorph of the same formula   303 meV per atom
# Density of states at the Fermi level   11.7 states/eV per cell
# Space group   P6/mmm
# Uncorrected energy   -2.974 eV/atom
# Total moment   0.0 μB/f.u.
# Energy relative to the elements   0.166 eV per atom
data_Ca3ZnNi2
_chemical_formula_sum 'Ca9 Zn3 Ni6'
_space_group_name_H-M_alt 'P 1'
_space_group_IT_number 1
_space_group_name_Hall 'P 1'
_cell_length_a 9.998
_cell_length_b 9.998
_cell_length_c 5.160
_cell_angle_alpha 90.00
_cell_angle_beta 90.00
_cell_angle_gamma 120.00
loop_
_atom_site_label
_atom_site_fract_x
_atom_site_fract_y
_atom_site_fract_z
Zn1 0.333 0.667 0.000
Zn2 0.667 0.333 0.000
Zn3 0.000 0.000 0.500
Ca1 0.000 0.500 0.500
Ca2 0.500 0.500 0.500
Ca3 0.694 0.694 0.000
Ca4 0.306 0.000 0.000
Ca5 0.306 0.306 0.000
Ca6 0.500 0.000 0.500
Ca7 0.694 0.000 0.000
Ca8 0.000 0.694 0.000
Ca9 0.000 0.306 0.000
Ni1 0.280 0.140 0.500
Ni2 0.860 0.140 0.500
Ni3 0.720 0.860 0.500
Ni4 0.140 0.280 0.500
Ni5 0.140 0.860 0.500
Ni6 0.860 0.720 0.500

***

# 3
# TlCu3Pd12, relaxed, DFT PBE-GGA
# Density of states at the Fermi level   20.1 states/eV per cell
# Space group   P4/mmm
# Uncorrected energy   -4.887 eV/atom
# Total moment   0.0 μB/f.u.
# Energy relative to the elements   -0.076 eV per atom
data_TlCu3Pd12
_chemical_formula_sum 'Tl1 Cu3 Pd12'
_space_group_name_H-M_alt 'P 1'
_space_group_IT_number 1
_space_group_name_Hall 'P 1'
_cell_length_a 3.942
_cell_length_b 3.942
_cell_length_c 15.745
_cell_angle_alpha 90.00
_cell_angle_beta 90.00
_cell_angle_gamma 90.00
loop_
_atom_site_label
_atom_site_fract_x
_atom_site_fract_y
_atom_site_fract_z
Pd1 0.500 0.500 0.258
Pd2 0.500 0.000 0.379
Pd3 0.000 0.500 0.379
Pd4 0.000 0.500 0.136
Pd5 0.500 0.000 0.136
Pd6 0.500 0.500 0.500
Pd7 0.000 0.500 0.864
Pd8 0.500 0.000 0.621
Pd9 0.500 0.500 0.000
Pd10 0.000 0.500 0.621
Pd11 0.500 0.000 0.864
Pd12 0.500 0.500 0.742
Cu1 0.000 0.000 0.743
Cu2 0.000 0.000 0.257
Cu3 0.000 0.000 0.500
Tl1 0.000 0.000 0.000

***

# 4
# ZrHPb, relaxed, DFT PBE-GGA
# Distance to the lowest polymorph of the same formula   87 meV per atom
# Density of states at the Fermi level   3.9 states/eV per cell
# Space group   Cmcm
# Uncorrected energy   -5.422 eV/atom
# Total moment   0.0 μB/f.u.
data_ZrHPb
_chemical_formula_sum 'Zr2 H2 Pb2'
_space_group_name_H-M_alt 'P 1'
_space_group_IT_number 1
_space_group_name_Hall 'P 1'
_cell_length_a 3.561
_cell_length_b 3.939
_cell_length_c 8.379
_cell_angle_alpha 90.00
_cell_angle_beta 102.27
_cell_angle_gamma 90.00
loop_
_atom_site_label
_atom_site_fract_x
_atom_site_fract_y
_atom_site_fract_z
H1 0.741 0.750 0.482
H2 0.259 0.250 0.518
Pb1 0.910 0.250 0.821
Pb2 0.090 0.750 0.179
Zr1 0.305 0.750 0.609
Zr2 0.695 0.250 0.391

***

# 5
# LiSn3Rh, relaxed, DFT PBE-GGA
# Distance to the lowest polymorph of the same formula   14 meV per atom
# Density of states at the Fermi level   10.0 states/eV per cell
# Space group   P2_1/c
# Uncorrected energy   -4.569 eV/atom
# Total moment   0.0 μB/f.u.
# Energy relative to the elements   -0.315 eV per atom
data_LiSn3Rh
_chemical_formula_sum 'Li4 Sn12 Rh4'
_space_group_name_H-M_alt 'P 1'
_space_group_IT_number 1
_space_group_name_Hall 'P 1'
_cell_length_a 6.733
_cell_length_b 7.209
_cell_length_c 9.480
_cell_angle_alpha 108.19
_cell_angle_beta 90.00
_cell_angle_gamma 90.00
loop_
_atom_site_label
_atom_site_fract_x
_atom_site_fract_y
_atom_site_fract_z
Sn1 0.614 0.469 0.835
Sn2 0.668 0.830 0.120
Sn3 0.832 0.330 0.120
Sn4 0.168 0.670 0.880
Sn5 0.426 0.707 0.562
Sn6 0.886 0.969 0.835
Sn7 0.386 0.531 0.165
Sn8 0.114 0.031 0.165
Sn9 0.332 0.170 0.880
Sn10 0.074 0.207 0.562
Sn11 0.574 0.293 0.438
Sn12 0.926 0.793 0.438
Rh1 0.519 0.834 0.846
Rh2 0.481 0.166 0.154
Rh3 0.981 0.334 0.846
Rh4 0.019 0.666 0.154
Li1 0.646 0.078 0.639
Li2 0.146 0.422 0.361
Li3 0.854 0.578 0.639
Li4 0.354 0.922 0.361

***

# 6
# AlTlZnCl2, relaxed, DFT PBE-GGA
# Density of states at the Fermi level   2.7 states/eV per cell
# Space group   P4/mmm
# Uncorrected energy   -2.321 eV/atom
# Total moment   0.0 μB/f.u.
# E_form (uncorrected)   -0.53 eV/f.u.
data_AlTlZnCl2
_chemical_formula_sum 'Al1 Tl1 Zn1 Cl2'
_space_group_name_H-M_alt 'P 1'
_space_group_IT_number 1
_space_group_name_Hall 'P 1'
_cell_length_a 4.748
_cell_length_b 6.253
_cell_length_c 4.748
_cell_angle_alpha 90.00
_cell_angle_beta 90.00
_cell_angle_gamma 90.00
loop_
_atom_site_label
_atom_site_fract_x
_atom_site_fract_y
_atom_site_fract_z
Cl1 0.500 0.000 0.000
Cl2 0.000 0.000 0.500
Zn1 0.000 0.000 0.000
Tl1 0.000 0.500 0.000
Al1 0.500 0.500 0.500

***

# 7
# AlSi2TcSb, relaxed, DFT PBE-GGA
# Distance to the lowest polymorph of the same formula   555 meV per atom
# Density of states at the Fermi level   4.9 states/eV per cell
# Space group   P4/mmm
# Uncorrected energy   -4.198 eV/atom
# Total moment   2.1 μB/f.u.
# E_form (uncorrected)   8.09 eV/f.u.
data_AlSi2TcSb
_chemical_formula_sum 'Al1 Si2 Tc1 Sb1'
_space_group_name_H-M_alt 'P 1'
_space_group_IT_number 1
_space_group_name_Hall 'P 1'
_cell_length_a 5.123
_cell_length_b 5.040
_cell_length_c 5.123
_cell_angle_alpha 90.00
_cell_angle_beta 90.00
_cell_angle_gamma 90.00
loop_
_atom_site_label
_atom_site_fract_x
_atom_site_fract_y
_atom_site_fract_z
Al1 0.500 0.500 0.500
Sb1 0.000 0.000 0.000
Tc1 0.000 0.500 0.000
Si1 0.500 0.000 0.000
Si2 0.000 0.000 0.500

***

# 8
# KOs3Se, relaxed, DFT PBE-GGA
# Distance to the lowest polymorph of the same formula   2181 meV per atom
# Density of states at the Fermi level   7.0 states/eV per cell
# Space group   Pm-3m
# Uncorrected energy   -3.653 eV/atom
# Total moment   0.0 μB/f.u.
# E_form (uncorrected)   20.01 eV/f.u.
data_KOs3Se
_chemical_formula_sum 'K1 Os3 Se1'
_space_group_name_H-M_alt 'P 1'
_space_group_IT_number 1
_space_group_name_Hall 'P 1'
_cell_length_a 4.639
_cell_length_b 4.639
_cell_length_c 4.639
_cell_angle_alpha 90.00
_cell_angle_beta 90.00
_cell_angle_gamma 90.00
loop_
_atom_site_label
_atom_site_fract_x
_atom_site_fract_y
_atom_site_fract_z
Os1 0.500 0.000 0.000
Os2 0.000 0.500 0.000
Os3 0.000 0.000 0.500
Se1 0.500 0.500 0.500
K1 0.000 0.000 0.000

***

# 9
# Rb2NbSCl6, relaxed, DFT PBE-GGA
# Density of states at the Fermi level   4.6 states/eV per cell
# Space group   I4/mmm
# Uncorrected energy   -3.838 eV/atom
# Total moment   1.0 μB/f.u.
# E_form (uncorrected)   -11.16 eV/f.u.
data_Rb2NbSCl6
_chemical_formula_sum 'Rb2 Nb1 S1 Cl6'
_space_group_name_H-M_alt 'P 1'
_space_group_IT_number 1
_space_group_name_Hall 'P 1'
_cell_length_a 8.344
_cell_length_b 8.344
_cell_length_c 7.449
_cell_angle_alpha 55.94
_cell_angle_beta 55.94
_cell_angle_gamma 90.00
loop_
_atom_site_label
_atom_site_fract_x
_atom_site_fract_y
_atom_site_fract_z
Rb1 0.750 0.250 0.500
Rb2 0.250 0.750 0.500
Cl1 0.790 0.790 0.000
Cl2 0.790 0.210 0.000
Cl3 0.258 0.258 0.484
Cl4 0.210 0.210 0.000
Cl5 0.742 0.742 0.516
Cl6 0.210 0.790 0.000
Nb1 0.000 0.000 0.000
S1 0.500 0.500 0.000

***

# 10
# Pr3Zn4Au4, relaxed, DFT PBE-GGA
# Density of states at the Fermi level   5.5 states/eV per cell
# Space group   P-1
# Uncorrected energy   -3.553 eV/atom
# Total moment   0.0 μB/f.u.
# Energy relative to the elements   -0.595 eV per atom
data_Pr3Zn4Au4
_chemical_formula_sum 'Pr3 Zn4 Au4'
_space_group_name_H-M_alt 'P 1'
_space_group_IT_number 1
_space_group_name_Hall 'P 1'
_cell_length_a 3.875
_cell_length_b 4.488
_cell_length_c 14.342
_cell_angle_alpha 81.16
_cell_angle_beta 82.27
_cell_angle_gamma 90.20
loop_
_atom_site_label
_atom_site_fract_x
_atom_site_fract_y
_atom_site_fract_z
Pr1 0.000 0.000 0.000
Pr2 0.854 0.354 0.293
Pr3 0.146 0.646 0.707
Au1 0.450 0.450 0.101
Au2 0.309 0.811 0.381
Au3 0.550 0.550 0.899
Au4 0.691 0.189 0.619
Zn1 0.256 0.257 0.489
Zn2 0.744 0.743 0.511
Zn3 0.403 0.904 0.194
Zn4 0.597 0.096 0.806

***

# 11
# ZrCu2TcPt, relaxed, DFT PBE-GGA
# Density of states at the Fermi level   4.4 states/eV per cell
# Space group   P4/mmm
# Uncorrected energy   -5.101 eV/atom
# Total moment   3.9 μB/f.u.
# Energy relative to the elements   1.528 eV per atom
data_ZrCu2TcPt
_chemical_formula_sum 'Zr1 Cu2 Tc1 Pt1'
_space_group_name_H-M_alt 'P 1'
_space_group_IT_number 1
_space_group_name_Hall 'P 1'
_cell_length_a 4.753
_cell_length_b 4.919
_cell_length_c 4.753
_cell_angle_alpha 90.00
_cell_angle_beta 90.00
_cell_angle_gamma 90.00
loop_
_atom_site_label
_atom_site_fract_x
_atom_site_fract_y
_atom_site_fract_z
Cu1 0.500 0.000 0.000
Cu2 0.000 0.000 0.500
Zr1 0.000 0.000 0.000
Pt1 0.000 0.500 0.000
Tc1 0.500 0.500 0.500

***

# 12
# Sm12ThTl3, relaxed, DFT PBE-GGA
# Density of states at the Fermi level   24.9 states/eV per cell
# Space group   P4/mmm
# Uncorrected energy   -4.576 eV/atom
# Total moment   0.0 μB/f.u.
# Energy relative to the elements   -0.129 eV per atom
data_Sm12ThTl3
_chemical_formula_sum 'Sm12 Th1 Tl3'
_space_group_name_H-M_alt 'P 1'
_space_group_IT_number 1
_space_group_name_Hall 'P 1'
_cell_length_a 4.963
_cell_length_b 4.963
_cell_length_c 20.085
_cell_angle_alpha 90.00
_cell_angle_beta 90.00
_cell_angle_gamma 90.00
loop_
_atom_site_label
_atom_site_fract_x
_atom_site_fract_y
_atom_site_fract_z
Sm1 0.500 0.500 0.254
Sm2 0.500 0.000 0.376
Sm3 0.000 0.500 0.376
Sm4 0.500 0.500 0.746
Sm5 0.000 0.500 0.624
Sm6 0.500 0.000 0.624
Sm7 0.500 0.500 0.000
Sm8 0.000 0.500 0.127
Sm9 0.500 0.500 0.500
Sm10 0.500 0.000 0.127
Sm11 0.000 0.500 0.873
Sm12 0.500 0.000 0.873
Tl1 0.000 0.000 0.745
Tl2 0.000 0.000 0.500
Tl3 0.000 0.000 0.255
Th1 0.000 0.000 0.000

***

# 13
# Ca2ScPt, relaxed, DFT PBE-GGA
# Distance to the lowest polymorph of the same formula   80 meV per atom
# Density of states at the Fermi level   4.4 states/eV per cell
# Space group   R3m
# Uncorrected energy   -4.568 eV/atom
# Total moment   0.0 μB/f.u.
# Energy relative to the elements   -0.474 eV per atom
data_Ca2ScPt
_chemical_formula_sum 'Ca2 Sc1 Pt1'
_space_group_name_H-M_alt 'P 1'
_space_group_IT_number 1
_space_group_name_Hall 'P 1'
_cell_length_a 9.562
_cell_length_b 9.562
_cell_length_c 9.562
_cell_angle_alpha 24.11
_cell_angle_beta 24.11
_cell_angle_gamma 24.11
loop_
_atom_site_label
_atom_site_fract_x
_atom_site_fract_y
_atom_site_fract_z
Ca1 0.221 0.221 0.221
Ca2 0.009 0.009 0.009
Pt1 0.490 0.490 0.490
Sc1 0.780 0.780 0.780